Entry 1:
Computed, not measured: a geometry-optimized Pu5Si2Ge5 structure at the GGA-PBE level of DFT.

Lattice parameters (Å, degrees): 7.6628 7.6628 11.0270 127.40 127.40 31.02
Closest atoms and distances in Å follow each position.
Fractional positions:
Pu: 0.0000 0.0000 0.0000  6 Ge 3.05-3.10, 4 Si 3.06
Pu: 0.3126 0.3126 0.4114  3 Si 3.00-3.05, 7 Ge 3.05-3.20, 1 Pu 3.12
Pu: 0.3769 0.3769 0.1912  5 Ge 2.93-3.04, 1 Pu 3.12, 1 Si 3.17
Pu: 0.6231 0.6231 0.8088  5 Ge 2.93-3.04, 1 Pu 3.12, 1 Si 3.17
Pu: 0.6874 0.6874 0.5886  3 Si 3.00-3.05, 7 Ge 3.05-3.20, 1 Pu 3.12
Si: 0.3781 0.3781 0.7347  3 Ge 2.41-2.44
Si: 0.6219 0.6219 0.2653  3 Ge 2.41-2.44
Ge: 0.0000 0.0000 0.5000  2 Ge 2.68
Ge: 0.0674 0.0674 0.3246  2 Si 2.44, 1 Ge 2.68
Ge: 0.3012 0.3012 0.8734  1 Si 2.41
Ge: 0.6988 0.6988 0.1266  1 Si 2.41
Ge: 0.9326 0.9326 0.6754  2 Si 2.44, 1 Ge 2.68

Output
Raw formation energy = -0.40 eV/atom

Entry 2:
Computed, not measured: a geometry-optimized SrGa2Pt structure at the GGA-PBE level of DFT.

Lattice parameters (Å, degrees): 6.0778 6.0778 6.0778 41.95 41.95 41.95
Closest atoms and distances in Å follow each position.
Fractional positions:
Sr: 0.0000 0.0000 0.0000  8 Ga 3.28-3.43
Ga: 0.2068 0.2068 0.2068  3 Pt 2.60, 3 Ga 2.84
Ga: 0.7932 0.7932 0.7932  3 Pt 2.60, 3 Ga 2.84
Pt: 0.5000 0.5000 0.5000  6 Ga 2.60

Output
Energy relative to the elements = -0.675 eV per atom

Entry 3:
Computed, not measured: a geometry-optimized NbTlN3 structure at the GGA-PBE level of DFT.

Lattice parameters (Å, degrees): 4.0944 4.0944 4.0944 90.00 90.00 90.00
Closest atoms and distances in Å follow each position.
Fractional positions:
Nb: 0.0000 0.0000 0.0000  12 N 2.90
Tl: 0.5000 0.5000 0.5000  6 N 2.05
N: 0.0000 0.5000 0.5000  2 Tl 2.05
N: 0.5000 0.0000 0.5000  2 Tl 2.05
N: 0.5000 0.5000 0.0000  2 Tl 2.05

Output
Raw formation energy = 2.29 eV/atom

Entry 4:
Computed, not measured: a geometry-optimized ReSb2As structure at the GGA-PBE level of DFT.

Lattice parameters (Å, degrees): 7.0708 7.0708 7.0708 153.44 145.66 43.93
Closest atoms and distances in Å follow each position.
Fractional positions:
Re: 0.0000 0.0000 0.0000  4 As 2.64, 4 Sb 2.82
Sb: 0.1758 0.6758 0.5000  2 Re 2.82, 2 As 3.11
Sb: 0.8242 0.3242 0.5000  2 Re 2.82, 2 As 3.11
As: 0.5000 0.5000 0.0000  4 Re 2.64

Output
Raw formation energy = 0.42 eV/atom

no.,raw total energy (eV per atom)
1,-9.20
2,-4.12
3,-5.19
4,-5.91